The following is a PBE-GGA calculation of Ag3Cl after structural relaxation, from Alexandria via LeMat-Bulk.

Cell: 3.4404 3.4404 6.5468 Å, 90.00 90.00 90.00°
Sites, in units of the cell vectors:
Ag  0.0000  0.0000  0.0000
Ag  0.5000  0.5000  0.2282
Ag  0.5000  0.5000  0.7718
Cl  0.0000  0.0000  0.5000

Offset from the most stable computed form ... 0.033 eV/atom
Space group ... No. 123
Formation energy without anion corrections ... -69 meV per atom
Size of the total moment ... 0.000 μB/f.u.
E ... -10.67 eV per cell